Record 1
# BeTcMo2

Crystalline BeTcMo2 at its relaxed geometry (PBE, Alexandria via LeMat-Bulk).

Cell: 3.124 4.149 8.653 Å, 90.00 90.00 90.00°
Space group Immm (No. 71)
Unique sites:
Be 0.000 0.000 0.000 x2
Tc 0.000 0.000 0.500 x2
Mo 0.000 0.500 0.248 x4

Results
ρ = 8851 kg/m3
Calculated formation energy = 0.0731 eV per atom
Crystal system = orthorhombic

***

Record 2
# Te2IrI

Crystalline Te2IrI at its relaxed geometry (PBE, Alexandria via LeMat-Bulk).

Cell: 4.147 6.858 9.956 Å, 90.00 93.22 90.00°
Space group P2_1/m (No. 11)
Unique sites:
Te 0.234 0.002 0.371 x4
Ir 0.263 0.250 0.591 x2
I 0.257 0.250 0.869 x2

Results
ρ = 6747 kg/m3
Energy relative to the elements, uncorrected = -0.119 eV/atom
Crystal system = monoclinic

***

Record 3
# Zn2BrCl

Crystalline Zn2BrCl at its relaxed geometry (PBE, Alexandria via LeMat-Bulk).

Cell: 5.089 3.434 6.294 Å, 90.00 110.89 90.00°
Space group Pm (No. 6)
Unique sites:
Zn 0.000 0.000 0.000 x1
Zn 0.351 0.500 0.927 x1
Br 0.514 0.000 0.672 x1
Cl 0.825 0.500 0.219 x1

Results
ρ = 3978 kg/m3
Energy relative to the elements, uncorrected = -0.527 eV/atom
Crystal system = monoclinic

***

Record 4
# ThAu

Crystalline ThAu at its relaxed geometry (PBE, Alexandria via LeMat-Bulk).

Cell: 3.829 4.747 11.608 Å, 90.00 99.60 90.00°
Space group P2_1/m (No. 11)
Unique sites:
Th 0.052 0.250 0.105 x2
Th 0.197 0.750 0.394 x2
Au 0.336 0.750 0.672 x2
Au 0.422 0.250 0.843 x2

Results
ρ = 13700 kg/m3
Calculated formation energy = -0.5732 eV per atom
Crystal system = monoclinic

***

Record 5
# SrLa8Ir4

Crystalline SrLa8Ir4 at its relaxed geometry (PBE, Alexandria via LeMat-Bulk).

Cell: 20.598 4.292 13.979 Å, 90.00 131.43 90.00°
Space group C2/m (No. 12)
Unique sites:
Sr 0.000 0.000 0.000 x2
La 0.042 0.000 0.736 x4
La 0.135 0.500 0.591 x4
La 0.167 0.500 0.349 x4
La 0.212 0.500 0.072 x4
Ir 0.145 0.000 0.462 x4
Ir 0.163 0.500 0.823 x4

Results
ρ = 7053 kg/m3
Calculated formation energy = -0.5773 eV per atom
Crystal system = monoclinic

***

Record 6
# La5TeS4

Crystalline La5TeS4 at its relaxed geometry (PBE, Alexandria via LeMat-Bulk).

Cell: 4.211 6.054 21.309 Å, 90.00 90.00 90.00°
Space group Immm (No. 71)
Unique sites:
La 0.000 0.000 0.000 x2
La 0.000 0.000 0.199 x4
La 0.000 0.000 0.388 x4
Te 0.000 0.500 0.000 x2
S 0.000 0.500 0.205 x4
S 0.000 0.500 0.399 x4

Results
ρ = 5810 kg/m3
Energy relative to the elements, uncorrected = -2.001 eV/atom
Crystal system = orthorhombic

***

Record 7
# Th4PtSe5

Crystalline Th4PtSe5 at its relaxed geometry (PBE, Alexandria via LeMat-Bulk).

Cell: 18.718 4.189 8.418 Å, 90.00 106.66 90.00°
Space group C2/m (No. 12)
Unique sites:
Th 0.000 0.000 0.238 x4
Th 0.171 0.500 0.121 x4
Pt 0.000 0.500 0.000 x2
Se 0.000 0.500 0.500 x2
Se 0.165 0.000 0.352 x4
Se 0.168 0.000 0.865 x4

Results
ρ = 7972 kg/m3
Energy relative to the elements, uncorrected = -1.539 eV/atom
Crystal system = monoclinic

***

Record 8
# K3Sm3GaO8

Crystalline K3Sm3GaO8 at its relaxed geometry (PBE, Alexandria via LeMat-Bulk).

Cell: 6.9534 6.9534 18.8915 Å, 90.00 90.00 120.00°
Space group R-3m (No. 166, hexagonal axes)
Unique sites:
K 0.0000 0.5000 0.0000 x9
Sm 0.0000 0.5000 0.5000 x9
Ga 0.0000 0.0000 0.5000 x3
O 0.0000 0.0000 0.2293 x6
O 0.0329 0.5164 0.2245 x18

Results
ρ = 4824 kg/m3
Energy relative to the elements, uncorrected = -2.322 eV/atom
Crystal system = trigonal

***

Record 9
# Tb3PbS6

Crystalline Tb3PbS6 at its relaxed geometry (PBE, Alexandria via LeMat-Bulk).

Cell: 11.5876 11.5876 13.8445 Å, 90.00 90.00 120.00°
Space group R-3 (No. 148, hexagonal axes)
Unique sites:
Tb 0.0499 0.7813 0.2078 x18
Pb 0.0000 0.0000 0.0000 x3
Pb 0.0000 0.0000 0.5000 x3
S 0.0194 0.7886 0.4005 x18
S 0.0327 0.8431 0.8728 x18

Results
ρ = 5424 kg/m3
Energy relative to the elements, uncorrected = -1.577 eV/atom
Crystal system = trigonal

***

Record 10
# CuRhI2O

Crystalline CuRhI2O at its relaxed geometry (PBE, Alexandria via LeMat-Bulk).

Cell: 5.590 5.590 3.733 Å, 90.00 90.00 90.00°
Space group P4/mmm (No. 123)
Unique sites:
Cu 0.000 0.000 0.000 x1
Rh 0.500 0.500 0.500 x1
I 0.000 0.500 0.500 x2
O 0.500 0.500 0.000 x1

Results
ρ = 6209 kg/m3
Energy relative to the elements, uncorrected = 0.134 eV/atom
Crystal system = tetragonal

***

Record 11
# Sm5Dy2Al4

Crystalline Sm5Dy2Al4 at its relaxed geometry (PBE, Alexandria via LeMat-Bulk).

Cell: 3.719 13.236 14.249 Å, 90.00 90.00 90.00°
Space group Immm (No. 71)
Unique sites:
Sm 0.000 0.000 0.000 x2
Sm 0.000 0.179 0.349 x8
Dy 0.000 0.500 0.297 x4
Al 0.000 0.332 0.500 x4
Al 0.000 0.500 0.092 x4

Results
ρ = 5610 kg/m3
Calculated formation energy = 0.2168 eV per atom
Crystal system = orthorhombic

***

Record 12
# BeHg2Sb2

Crystalline BeHg2Sb2 at its relaxed geometry (PBE, Alexandria via LeMat-Bulk).

Cell: 6.615 6.615 6.214 Å, 90.00 90.00 90.00°
Space group P4/mbm (No. 127)
Unique sites:
Be 0.000 0.000 0.000 x2
Hg 0.175 0.325 0.500 x4
Sb 0.156 0.344 0.000 x4

Results
ρ = 7985 kg/m3
Energy relative to the elements, uncorrected = 0.240 eV/atom
Crystal system = tetragonal